[1]
This record from Alexandria describes a relaxed Tl2Hg3Se2 crystal. The functional is GGA-PBE.

Cell: 4.2088 4.0996 14.3051 Å, 89.30 90.00 90.00°
With the nearest neighbours (Å) after each atom.
Fractional positions:
Hg (0.0000, 0.7435, 0.5921)  2 Hg 3.32-3.35, 1 Se 3.63, 2 Tl 3.69
Hg (0.0000, 0.0000, 0.0000)  2 Se 2.49
Hg (0.0000, 0.2565, 0.4079)  2 Hg 3.32-3.35, 1 Se 3.63, 2 Tl 3.69
Tl (0.5000, 0.2003, 0.7572)  4 Se 3.13-3.27
Tl (0.5000, 0.7997, 0.2428)  4 Se 3.13-3.27
Se (0.0000, 0.2774, 0.1543)  1 Hg 2.49
Se (0.0000, 0.7226, 0.8457)  1 Hg 2.49

Results
The value obtained for the electronic total energy is -1.975 eV/atom. The value obtained for the calculated volume is 246.8 Å³/cell. The calculation puts the mass density at 7861 kg/m3. As for the space-group type: P2/m. The crystal system is monoclinic. The formation energy from raw total energies comes out at -0.174 eV per atom.



[2]
This record from Alexandria describes a relaxed Zr5Ir2Pt crystal. The functional is GGA-PBE.

Cell: 6.9518 6.9518 8.2957 Å, 114.77 114.77 90.00°
With the nearest neighbours (Å) after each atom.
Fractional positions:
Zr (0.8155, 0.9843, 0.2998)  3 Ir 2.79-2.91, 2 Pt 2.92
Zr (0.5000, 0.5000, 0.0000)  4 Ir 2.70
Zr (0.4843, 0.3155, 0.2998)  3 Ir 2.79-2.91, 2 Pt 2.92
Zr (0.0000, 0.0000, 0.0000)  4 Ir 2.70
Zr (0.6845, 0.1845, 0.7002)  3 Ir 2.79-2.91, 2 Pt 2.92
Zr (0.1845, 0.0157, 0.7002)  3 Ir 2.79-2.91, 2 Pt 2.92
Zr (0.5157, 0.6845, 0.7002)  3 Ir 2.79-2.91, 2 Pt 2.92
Zr (0.0157, 0.5157, 0.7002)  3 Ir 2.79-2.91, 2 Pt 2.92
Zr (0.3155, 0.8155, 0.2998)  3 Ir 2.79-2.91, 2 Pt 2.92
Zr (0.9843, 0.4843, 0.2998)  3 Ir 2.79-2.91, 2 Pt 2.92
Ir (0.8638, 0.6362, 0.0000)  1 Ir 2.68, 8 Zr 2.70-2.91
Ir (0.6362, 0.1362, 0.0000)  1 Ir 2.68, 8 Zr 2.70-2.91
Ir (0.3638, 0.8638, 0.0000)  1 Ir 2.68, 8 Zr 2.70-2.91
Ir (0.1362, 0.3638, 0.0000)  1 Ir 2.68, 8 Zr 2.70-2.91
Pt (0.2500, 0.2500, 0.5000)  8 Zr 2.92
Pt (0.7500, 0.7500, 0.5000)  8 Zr 2.92

Results
The value obtained for the electronic total energy is -9.015 eV/atom. The value obtained for the calculated volume is 322.9 Å³/cell. The density of states at the Fermi level comes out at 1.232 states/eV per atom. The calculation puts the mass density at 10650 kg/m3. As for the space-group type: I4/mcm. Its formation energy is -702 meV/atom. The crystal system is tetragonal.



[3]
This record from Alexandria describes a relaxed Na3ZrC crystal. The functional is GGA-PBE.

Cell: 4.8662 4.8662 4.8662 Å, 90.00 90.00 90.00°
With the nearest neighbours (Å) after each atom.
Fractional positions:
Na (0.0000, 0.0000, 0.5000)  2 C 2.43
Na (0.5000, 0.0000, 0.0000)  2 C 2.43
Na (0.0000, 0.5000, 0.0000)  2 C 2.43
Zr (0.5000, 0.5000, 0.5000)  12 Na 3.44
C (0.0000, 0.0000, 0.0000)  6 Na 2.43

Results
The value obtained for the electronic total energy is -2.855 eV/atom. The value obtained for the calculated volume is 115.2 Å³/cell. The density of states at the Fermi level comes out at 0.955 states/eV per atom. The calculation puts the mass density at 2482 kg/m3. As for the space-group type: Pm-3m. Its formation energy is 1490 meV/atom. The crystal system is cubic.



[4]
This record from Alexandria describes a relaxed InAg2Se2 crystal. The functional is GGA-PBE.

Cell: 7.8801 7.8801 3.6180 Å, 90.00 90.00 90.00°
With the nearest neighbours (Å) after each atom.
Fractional positions:
Ag (0.6298, 0.8702, 0.5000)  6 Se 2.83-3.02, 1 Ag 2.89
Ag (0.1298, 0.6298, 0.5000)  6 Se 2.83-3.02, 1 Ag 2.89
Ag (0.3702, 0.1298, 0.5000)  6 Se 2.83-3.02, 1 Ag 2.89
Ag (0.8702, 0.3702, 0.5000)  6 Se 2.83-3.02, 1 Ag 2.89
In (0.5000, 0.5000, 0.0000)  4 Se 2.91
In (0.0000, 0.0000, 0.0000)  4 Se 2.91
Se (0.8256, 0.6744, 0.0000)  6 Ag 2.83-3.02, 2 In 2.91
Se (0.6744, 0.1744, 0.0000)  6 Ag 2.83-3.02, 2 In 2.91
Se (0.3256, 0.8256, 0.0000)  6 Ag 2.83-3.02, 2 In 2.91
Se (0.1744, 0.3256, 0.0000)  6 Ag 2.83-3.02, 2 In 2.91

Results
The value obtained for the electronic total energy is -3.078 eV/atom. The value obtained for the calculated volume is 224.7 Å³/cell. The density of states at the Fermi level comes out at 0.542 states/eV per atom. The calculation puts the mass density at 7221 kg/m3. As for the space-group type: P4/mbm. The crystal system is tetragonal. The formation energy from raw total energies comes out at 0.004 eV per atom.



[5]
This record from Alexandria describes a relaxed CaGaTeO5 crystal. The functional is GGA-PBE.

Cell: 5.7928 5.7928 7.6337 Å, 104.72 104.72 106.42°
With the nearest neighbours (Å) after each atom.
Fractional positions:
O (0.0745, 0.9255, 0.2500)  2 Te 2.03
O (0.6361, 0.7353, 0.9199)  1 Ga 1.87, 1 Te 2.05
O (0.7353, 0.6361, 0.4199)  1 Ga 1.87, 1 Te 2.05
O (0.9255, 0.0745, 0.7500)  2 Te 2.03
O (0.9045, 0.3162, 0.1088)  1 Ga 1.87
O (0.2647, 0.3639, 0.5801)  1 Ga 1.87, 1 Te 2.05
O (0.0955, 0.6838, 0.8912)  1 Ga 1.87
O (0.3639, 0.2647, 0.0801)  1 Ga 1.87, 1 Te 2.05
O (0.6838, 0.0955, 0.3912)  1 Ga 1.87
O (0.3162, 0.9045, 0.6088)  1 Ga 1.87
Te (0.0000, 0.0000, 0.0000)  6 O 2.03-2.09
Te (0.0000, 0.0000, 0.5000)  6 O 2.03-2.09
Ca (0.3327, 0.6673, 0.2500)  5 O 2.40-2.47
Ca (0.6673, 0.3327, 0.7500)  5 O 2.40-2.47
Ga (0.3156, 0.6844, 0.7500)  4 O 1.87
Ga (0.6844, 0.3156, 0.2500)  4 O 1.87

Results
The value obtained for the electronic total energy is -5.910 eV/atom. The value obtained for the calculated volume is 222.5 Å³/cell. The density of states at the Fermi level comes out at 0.102 states/eV per atom. The calculation puts the mass density at 4737 kg/m3. As for the space-group type: C2/c. The crystal system is monoclinic. The formation energy from raw total energies comes out at -1.790 eV per atom.



[6]
This record from Alexandria describes a relaxed ThRuBr crystal. The functional is GGA-PBE.

Cell: 3.7195 3.7959 12.2837 Å, 89.98 94.70 90.00°
With the nearest neighbours (Å) after each atom.
Fractional positions:
Ru (0.9956, 0.9464, 0.2147)  3 Th 2.68-2.86, 2 Ru 2.75
Ru (0.5334, 0.4465, 0.1209)  3 Th 2.68-2.86, 2 Ru 2.75
Th (0.0845, 0.9463, 0.0003)  3 Ru 2.68-2.86, 2 Br 2.98
Th (0.4445, 0.4458, 0.3354)  3 Ru 2.68-2.86, 2 Br 2.98
Br (0.9956, 0.4460, 0.5251)  2 Th 2.98
Br (0.5336, 0.9462, 0.8105)  2 Th 2.98

Results
The value obtained for the electronic total energy is -6.812 eV/atom. The value obtained for the calculated volume is 172.9 Å³/cell. The density of states at the Fermi level comes out at 0.599 states/eV per atom. The calculation puts the mass density at 7935 kg/m3. As for the space-group type: P2_1/m. The crystal system is monoclinic. The formation energy from raw total energies comes out at -0.689 eV per atom.



[7]
This record from Alexandria describes a relaxed NaTeSCl2 crystal. The functional is GGA-PBE.

Cell: 4.8265 4.8265 5.3216 Å, 90.00 90.00 90.00°
With the nearest neighbours (Å) after each atom.
Fractional positions:
S (0.0000, 0.0000, 0.5000)  2 Na 2.66
Cl (0.5000, 0.0000, 0.0000)  2 Na 2.41
Cl (0.0000, 0.5000, 0.0000)  2 Na 2.41
Te (0.5000, 0.5000, 0.5000)  4 S 3.41, 8 Cl 3.59
Na (0.0000, 0.0000, 0.0000)  4 Cl 2.41, 2 S 2.66

Results
The value obtained for the electronic total energy is -2.367 eV/atom. The value obtained for the calculated volume is 124.0 Å³/cell. The density of states at the Fermi level comes out at 1.016 states/eV per atom. The calculation puts the mass density at 3396 kg/m3. As for the space-group type: P4/mmm. The crystal system is tetragonal. The formation energy from raw total energies comes out at 0.089 eV per atom.



[8]
This record from Alexandria describes a relaxed Li2IrRu crystal. The functional is GGA-PBE.

Cell: 2.5410 4.2755 5.1004 Å, 90.00 90.00 90.00°
With the nearest neighbours (Å) after each atom.
Fractional positions:
Li (0.0000, 0.0000, 0.5029)  4 Li 2.52-2.58, 4 Ir 2.79, 4 Ru 2.80
Li (0.0000, 0.0000, 0.9971)  4 Li 2.52-2.58, 4 Ir 2.79, 4 Ru 2.80
Ir (0.5000, 0.5000, 0.7500)  2 Ir 2.54, 2 Ru 2.55, 8 Li 2.79
Ru (0.5000, 0.5000, 0.2500)  2 Ru 2.54, 2 Ir 2.55, 8 Li 2.80

Results
The value obtained for the electronic total energy is -5.347 eV/atom. The value obtained for the calculated volume is 55.4 Å³/cell. The density of states at the Fermi level comes out at 1.022 states/eV per atom. The calculation puts the mass density at 9205 kg/m3. As for the space-group type: Pmmm. Its formation energy is 144 meV/atom. The crystal system is orthorhombic.



[9]
This record from Alexandria describes a relaxed Pr8Ru3PtCl4 crystal. The functional is GGA-PBE.

Cell: 8.2173 9.0198 8.2164 Å, 117.12 120.00 90.00°
With the nearest neighbours (Å) after each atom.
Fractional positions:
Cl (0.0000, 0.0000, 0.5000)  6 Pr 3.26-3.30
Cl (0.5000, 0.0000, 0.5000)  6 Pr 3.26-3.30
Cl (0.5000, 0.0000, 0.0000)  6 Pr 3.22
Cl (0.0000, 0.0000, 0.0000)  6 Pr 3.25-3.30
Ru (0.5000, 0.5000, 0.0000)  6 Pr 2.82-2.86
Ru (0.5000, 0.5000, 0.5000)  6 Pr 2.82-2.86
Ru (0.0000, 0.5000, 0.5000)  6 Pr 2.82-2.86
Pr (0.2407, 0.7061, 0.9658)  2 Ru 2.82, 1 Pt 2.91
Pr (0.7593, 0.2939, 0.5187)  2 Ru 2.82, 1 Pt 2.91
Pr (0.2407, 0.7061, 0.4813)  2 Ru 2.82, 1 Pt 2.91
Pr (0.2749, 0.2939, 0.0342)  2 Ru 2.82, 1 Pt 2.91
Pr (0.2635, 0.2907, 0.5269)  3 Ru 2.86
Pr (0.7593, 0.2939, 0.0342)  2 Ru 2.82, 1 Pt 2.91
Pr (0.7251, 0.7061, 0.9658)  2 Ru 2.82, 1 Pt 2.91
Pr (0.7365, 0.7093, 0.4731)  3 Ru 2.86
Pt (0.0000, 0.5000, 0.0000)  6 Pr 2.91

Results
The value obtained for the electronic total energy is -5.967 eV/atom. The value obtained for the calculated volume is 448.4 Å³/cell. The density of states at the Fermi level comes out at 0.313 states/eV per atom. The calculation puts the mass density at 6545 kg/m3. As for the space-group type: R-3m. The crystal system is trigonal. The formation energy from raw total energies comes out at -0.999 eV per atom.



[10]
This record from Alexandria describes a relaxed MnNbVGaCu crystal. The functional is GGA-PBE.

Cell: 2.8529 3.6684 14.0284 Å, 90.00 101.75 90.00°
With the nearest neighbours (Å) after each atom.
Fractional positions:
Mn (0.2081, 0.5000, 0.3541)  1 V 2.59, 4 Ga 2.63, 4 Cu 2.66, 1 Nb 2.76, 2 Mn 2.85
Mn (0.2081, 0.0000, 0.8541)  1 V 2.59, 4 Ga 2.63, 4 Cu 2.66, 1 Nb 2.76, 2 Mn 2.85
Cu (0.8018, 0.0000, 0.4481)  1 Ga 2.53, 4 Mn 2.66, 4 Nb 2.75
Cu (0.8018, 0.5000, 0.9481)  1 Ga 2.53, 4 Mn 2.66, 4 Nb 2.75
Nb (0.4090, 0.0000, 0.0547)  4 Cu 2.75, 1 Mn 2.76, 4 V 2.77-2.78, 2 Nb 2.85, 1 Ga 2.87
Nb (0.4090, 0.5000, 0.5547)  4 Cu 2.75, 1 Mn 2.76, 4 V 2.77-2.78, 2 Nb 2.85, 1 Ga 2.87
V (0.0194, 0.5000, 0.1652)  1 Mn 2.59, 4 Ga 2.69, 4 Nb 2.77-2.78, 2 V 2.85
V (0.0194, 0.0000, 0.6652)  1 Mn 2.59, 4 Ga 2.69, 4 Nb 2.77-2.78, 2 V 2.85
Ga (0.6177, 0.0000, 0.2636)  1 Cu 2.53, 4 Mn 2.63, 4 V 2.69
Ga (0.6177, 0.5000, 0.7636)  1 Cu 2.53, 4 Mn 2.63, 4 V 2.69

Results
The value obtained for the electronic total energy is -7.076 eV/atom. The value obtained for the calculated volume is 143.7 Å³/cell. The density of states at the Fermi level comes out at 0.743 states/eV per atom. The calculation puts the mass density at 7672 kg/m3. As for the space-group type: Imm2. Its formation energy is 20 meV/atom. The crystal system is orthorhombic.



[11]
This record from Alexandria describes a relaxed AcLa3Os crystal. The functional is GGA-PBE.

Cell: 5.7326 5.7326 5.7326 Å, 90.00 90.00 90.00°
With the nearest neighbours (Å) after each atom.
Fractional positions:
La (0.0000, 0.0000, 0.5000)  2 Os 2.87
La (0.0000, 0.5000, 0.0000)  2 Os 2.87
La (0.5000, 0.0000, 0.0000)  2 Os 2.87
Os (0.0000, 0.0000, 0.0000)  6 La 2.87
Ac (0.5000, 0.5000, 0.5000)  12 La 4.05

Results
The value obtained for the electronic total energy is -6.038 eV/atom. The value obtained for the calculated volume is 188.4 Å³/cell. The density of states at the Fermi level comes out at 1.514 states/eV per atom. The calculation puts the mass density at 7351 kg/m3. As for the space-group type: Pm-3m. Its formation energy is -14 meV/atom. The crystal system is cubic.



[12]
This record from Alexandria describes a relaxed AcNbFeSi2 crystal. The functional is GGA-PBE.

Cell: 4.1504 4.1504 6.4820 Å, 108.67 108.67 90.00°
With the nearest neighbours (Å) after each atom.
Fractional positions:
Ac (0.0000, 0.0000, 0.0000)  8 Si 3.25, 4 Nb 3.56, 4 Fe 3.56
Nb (0.2500, 0.7500, 0.5000)  4 Si 2.55
Fe (0.7500, 0.2500, 0.5000)  4 Si 2.55
Si (0.3789, 0.3789, 0.7579)  2 Nb 2.55, 2 Fe 2.55, 1 Si 2.80
Si (0.6211, 0.6211, 0.2421)  2 Nb 2.55, 2 Fe 2.55, 1 Si 2.80

Results
The value obtained for the electronic total energy is -7.131 eV/atom. The value obtained for the calculated volume is 99.6 Å³/cell. The density of states at the Fermi level comes out at 0.374 states/eV per atom. The calculation puts the mass density at 7204 kg/m3. As for the space-group type: I-4m2. The crystal system is tetragonal. The formation energy from raw total energies comes out at -0.433 eV per atom.



[13]
This record from Alexandria describes a relaxed NaTl2F crystal. The functional is GGA-PBE.

Cell: 5.1971 5.1971 5.1971 Å, 60.00 60.00 60.00°
With the nearest neighbours (Å) after each atom.
Fractional positions:
Tl (0.2500, 0.2500, 0.2500)  4 F 3.18, 4 Na 3.18
Tl (0.7500, 0.7500, 0.7500)  4 F 3.18, 4 Na 3.18
Na (0.5000, 0.5000, 0.5000)  8 Tl 3.18
F (0.0000, 0.0000, 0.0000)  8 Tl 3.18

Results
The value obtained for the electronic total energy is -2.586 eV/atom. The value obtained for the calculated volume is 99.3 Å³/cell. The density of states at the Fermi level comes out at 0.564 states/eV per atom. The calculation puts the mass density at 7541 kg/m3. As for the space-group type: Fm-3m. The crystal system is cubic. The formation energy from raw total energies comes out at -0.605 eV per atom.